{"formula": "Pm2ReAs", "functional": "PBE", "state": "relaxed", "formation_enthalpy_0k_mev_per_atom": -82.1, "spacegroup": "Fm-3m, No. 225", "total_energy_ev_per_atom": -6.732, "density_g_cm3": 9.88, "de_polymorph_kj_per_mol_atoms": 10.2, "lattice": [[0.000, 3.591, 3.591], [3.591, 0.000, 3.591], [3.591, 3.591, 0.000]], "species": ["Pm", "Pm", "Re", "As"], "fractional_positions": [[0.250, 0.250, 0.250], [0.750, 0.750, 0.750], [0.000, 0.000, 0.000], [0.500, 0.500, 0.500]]}